[1]
Entry from Alexandria via LeMat-Bulk: crystalline RbZrAgCl6 at its relaxed geometry (PBE).

Calculated values
V ... 601 Å³/cell
Energy ... -4.169 eV per atom
Energy relative to the elements, uncorrected ... -1.564 eV per atom

Cell lengths 7.0239, 7.0239, 14.0759 Å; angles 90.00, 90.00, 120.00 degrees
Space group P-31c (No. 163)
Inequivalent atoms, fractional coordinates:
1 Rb 0.0000 0.0000 0.0000
2 Zr 0.3333 0.6667 0.2500
3 Ag 0.3333 0.6667 0.7500
4 Cl 0.0319 0.3915 0.1464

---

[2]
Entry from Alexandria via LeMat-Bulk: crystalline Re2AgCl at its relaxed geometry (PBE).

Calculated values
V ... 72 Å³/cell
Energy ... -7.153 eV per atom
Energy relative to the elements, uncorrected ... 0.246 eV per atom
ΔE to the lowest computed polymorph ... 0 meV/atom

Cell lengths 3.008, 2.976, 8.204 Å; angles 90.00, 100.36, 90.00 degrees
Space group Pm (No. 6)
Inequivalent atoms, fractional coordinates:
1 Re 0.000 0.000 0.000
2 Re 0.411 0.500 0.819
3 Ag 0.782 0.000 0.557
4 Cl 0.122 0.500 0.246

---

[3]
Entry from Alexandria via LeMat-Bulk: crystalline Re2AgCl at its relaxed geometry (PBE).

Calculated values
V ... 72 Å³/cell
Energy ... -7.028 eV per atom
Energy relative to the elements, uncorrected ... 0.371 eV per atom
ΔE to the lowest computed polymorph ... 125 meV/atom

Cell lengths 2.909, 2.909, 8.473 Å; angles 90.00, 90.00, 90.00 degrees
Space group P4mm (No. 99)
Inequivalent atoms, fractional coordinates:
1 Re 0.000 0.000 0.000
2 Re 0.500 0.500 0.189
3 Ag 0.000 0.000 0.442
4 Cl 0.500 0.500 0.785

---

[4]
Entry from Alexandria via LeMat-Bulk: crystalline Re2AgCl at its relaxed geometry (PBE).

Calculated values
V ... 187 Å³/cell
Energy ... -6.475 eV per atom
Energy relative to the elements, uncorrected ... 0.923 eV per atom
ΔE to the lowest computed polymorph ... 678 meV/atom

Cell lengths 2.8356, 2.8356, 26.8549 Å; angles 90.00, 90.00, 120.00 degrees
Space group R-3m (No. 166, hexagonal axes)
Inequivalent atoms, fractional coordinates:
1 Re 0.0000 0.0000 0.2445
2 Ag 0.0000 0.0000 0.0000
3 Cl 0.0000 0.0000 0.5000

---

[5]
Entry from Alexandria via LeMat-Bulk: crystalline Re2AgCl at its relaxed geometry (PBE).

Calculated values
V ... 136 Å³/cell
Energy ... -6.003 eV per atom
Energy relative to the elements, uncorrected ... 1.395 eV per atom
ΔE to the lowest computed polymorph ... 1150 meV/atom

Cell lengths 5.208, 9.684, 2.687 Å; angles 90.00, 90.00, 90.00 degrees
Space group Cmmm (No. 65)
Inequivalent atoms, fractional coordinates:
1 Re 0.250 0.250 0.000
2 Ag 0.000 0.000 0.500
3 Cl 0.000 0.500 0.500

---

[6]
Entry from Alexandria via LeMat-Bulk: crystalline ReAg3Cl7 at its relaxed geometry (PBE).

Calculated values
V ... 619 Å³/cell
Energy ... -3.582 eV per atom
Energy relative to the elements, uncorrected ... -0.497 eV per atom

Cell lengths 12.044, 8.097, 7.135 Å; angles 90.00, 117.16, 90.00 degrees
Space group Cm (No. 8)
Inequivalent atoms, fractional coordinates:
1 Re 0.000 0.000 0.000
2 Ag 0.345 0.000 0.966
3 Ag 0.386 0.249 0.439
4 Cl 0.097 0.000 0.775
5 Cl 0.130 0.208 0.209
6 Cl 0.356 0.289 0.776
7 Cl 0.380 0.500 0.193
8 Cl 0.481 0.000 0.362

---

[7]
Entry from Alexandria via LeMat-Bulk: crystalline Re2AgCl at its relaxed geometry (PBE).

Calculated values
V ... 179 Å³/cell
Energy ... -6.113 eV per atom
Energy relative to the elements, uncorrected ... 1.286 eV per atom
ΔE to the lowest computed polymorph ... 1040 meV/atom

Cell lengths 3.549, 3.549, 14.179 Å; angles 90.00, 90.00, 90.00 degrees
Space group I4/mmm (No. 139)
Inequivalent atoms, fractional coordinates:
1 Re 0.000 0.500 0.250
2 Ag 0.000 0.000 0.000
3 Cl 0.000 0.000 0.500

---

[8]
Entry from Alexandria via LeMat-Bulk: crystalline Re2AgCl at its relaxed geometry (PBE).

Calculated values
V ... 248 Å³/cell
Energy ... -5.834 eV per atom
Energy relative to the elements, uncorrected ... 1.565 eV per atom
ΔE to the lowest computed polymorph ... 1319 meV/atom

Cell lengths 6.281, 6.281, 6.281 Å; angles 90.00, 90.00, 90.00 degrees
Space group Fm-3m (No. 225)
Inequivalent atoms, fractional coordinates:
1 Re 0.250 0.250 0.250
2 Ag 0.000 0.000 0.000
3 Cl 0.000 0.000 0.500